MgScP2Pb (PBE, relaxed); DOS at the Fermi energy = 3.96 states/eV/f.u.; ΔH_f (0 K) = 0.907 eV per atom; total energy = -17.92 eV per formula unit; space group = P4/mmm, No. 123
1.0
5.306 0.000 0.000
0.000 5.306 0.000
0.000 0.000 5.037
Mg Sc P Pb
1 1 2 1
Cartesian
0.000 0.000 0.000 Mg
2.653 2.653 0.000 Sc
0.000 2.653 2.518 P
2.653 0.000 2.518 P
0.000 0.000 2.518 Pb



MgTl2PPb (PBE, relaxed); DOS at the Fermi energy = 3.74 states/eV/f.u.; ΔH_f (0 K) = 0.768 eV per atom; total energy = -11.61 eV per formula unit; space group = P4/mmm, No. 123
1.0
5.881 0.000 0.000
0.000 5.881 0.000
0.000 0.000 5.385
Mg Tl P Pb
1 2 1 1
Cartesian
0.000 0.000 0.000 Mg
0.000 2.941 2.692 Tl
2.941 0.000 2.692 Tl
2.941 2.941 0.000 P
0.000 0.000 2.692 Pb



Y2MgPPb (PBE, relaxed); DOS at the Fermi energy = 1.98 states/eV/f.u.; ΔH_f (0 K) = -0.643 eV per atom; total energy = -26.85 eV per formula unit; space group = P4/mmm, No. 123
1.0
5.313 0.000 0.000
0.000 5.313 0.000
0.000 0.000 4.813
Y Mg P Pb
2 1 1 1
Cartesian
0.000 2.656 0.000 Y
2.656 0.000 0.000 Y
0.000 0.000 2.407 Mg
0.000 0.000 0.000 P
2.656 2.656 2.407 Pb



YMg2PPb (PBE, relaxed); DOS at the Fermi energy = 1.26 states/eV/f.u.; ΔH_f (0 K) = -0.459 eV per atom; total energy = -21.07 eV per formula unit; space group = P4/mmm, No. 123
1.0
4.865 0.000 0.000
0.000 4.865 0.000
0.000 0.000 5.382
Y Mg P Pb
1 2 1 1
Cartesian
0.000 0.000 0.000 Y
0.000 2.433 2.691 Mg
2.433 0.000 2.691 Mg
0.000 0.000 2.691 P
2.433 2.433 0.000 Pb



MgZnPPb2 (PBE, relaxed); DOS at the Fermi energy = 2.48 states/eV/f.u.; ΔH_f (0 K) = 0.533 eV per atom; total energy = -13.03 eV per formula unit; space group = P4/mmm, No. 123
1.0
5.613 0.000 0.000
0.000 5.613 0.000
0.000 0.000 4.710
Mg Zn P Pb
1 1 1 2
Cartesian
0.000 0.000 0.000 Mg
2.807 2.807 2.355 Zn
0.000 0.000 2.355 P
0.000 2.807 0.000 Pb
2.807 0.000 0.000 Pb



Mg5PPd6 (PBE, relaxed); DOS at the Fermi energy = 6.14 states/eV/f.u.; ΔH_f (0 K) = -0.652 eV per atom; total energy = -52.37 eV per formula unit; space group = Cmmm, No. 65
1.0
2.197 -6.581 0.000
2.197 6.581 0.000
0.000 0.000 6.522
Mg P Pd
5 1 6
Cartesian
0.000 0.000 0.000 Mg
2.197 2.234 0.000 Mg
2.197 2.232 3.261 Mg
2.197 -2.234 0.000 Mg
2.197 -2.232 3.261 Mg
0.000 0.000 3.261 P
2.197 4.490 1.704 Pd
2.197 4.490 4.818 Pd
2.197 0.000 1.724 Pd
2.197 0.000 4.797 Pd
2.197 -4.490 1.704 Pd
2.197 -4.490 4.818 Pd



MgPPd3 (PBE, relaxed); DOS at the Fermi energy = 2.15 states/eV/f.u.; ΔH_f (0 K) = -0.570 eV per atom; total energy = -25.43 eV per formula unit; space group = P2_1/m, No. 11
1.0
5.841 0.000 0.000
0.000 3.966 0.000
-1.224 0.000 6.890
Mg P Pd
2 2 6
Cartesian
0.874 0.991 0.890 Mg
3.742 2.974 6.000 Mg
0.807 2.974 4.077 P
3.809 0.991 2.813 P
-0.585 0.991 4.670 Pd
0.826 2.974 6.362 Pd
2.342 2.974 2.341 Pd
2.275 0.991 4.549 Pd
3.791 0.991 0.528 Pd
5.201 2.974 2.219 Pd



MgP2Pd5 (PBE, relaxed); DOS at the Fermi energy = 3.72 states/eV/f.u.; ΔH_f (0 K) = -0.513 eV per atom; total energy = -42.48 eV per formula unit; space group = Immm, No. 71
1.0
-1.876 3.028 5.658
1.876 -3.028 5.658
1.876 3.028 -5.658
Mg P Pd
1 2 5
Cartesian
0.000 0.000 0.000 Mg
1.876 0.000 3.342 P
0.000 3.028 2.316 P
1.876 1.530 -1.614 Pd
1.876 1.530 1.614 Pd
0.000 3.028 0.000 Pd
0.000 1.498 4.043 Pd
0.000 1.498 7.272 Pd